This record from Alexandria via LeMat-Bulk describes a geometry-optimized Tb4Dy3Sc4 structure. The functional is PBE.

abc: 3.4019 5.4096 17.5447
angles: 98.83 95.55 90.00
Closest atoms and distances in Å follow each position.
Element x y z (fractional)
Tb  0.0469  0.0478  0.0945  2 Sc 3.11-3.12, 3 Tb 3.26-3.40
Tb  0.1816  0.6824  0.3642  5 Sc 3.11-3.35, 2 Tb 3.40
Tb  0.8184  0.3176  0.6358  5 Sc 3.11-3.35, 2 Tb 3.40
Tb  0.9531  0.9522  0.9055  2 Sc 3.11-3.12, 3 Tb 3.26-3.40
Dy  0.3618  0.8609  0.7228  2 Dy 3.40, 6 Tb 3.53-3.58, 6 Sc 3.58-3.71
Dy  0.5000  0.5000  0.0000  2 Dy 3.40, 8 Tb 3.58-3.59, 4 Sc 3.60
Dy  0.6382  0.1391  0.2772  2 Dy 3.40, 6 Tb 3.53-3.58, 6 Sc 3.58-3.71
Sc  0.0918  0.5928  0.1841  3 Tb 3.11-3.12, 2 Sc 3.40
Sc  0.2346  0.2343  0.4685  4 Tb 3.25-3.35, 6 Sc 3.37-3.40
Sc  0.7654  0.7657  0.5315  4 Tb 3.25-3.35, 6 Sc 3.37-3.40
Sc  0.9082  0.4072  0.8159  3 Tb 3.11-3.12, 2 Sc 3.40

* energy relative to the elements: 70 meV/atom
* space group: P-1, No. 2

This record from Alexandria via LeMat-Bulk describes a geometry-optimized Mo2HAuBr structure. The functional is PBE.

abc: 4.9925 4.9925 3.0850
angles: 90.00 90.00 90.00
Closest atoms and distances in Å follow each position.
Element x y z (fractional)
Mo  0.0000  0.5000  0.0000  2 Br 2.50
Mo  0.5000  0.0000  0.0000  2 Br 2.50
H  0.0000  0.0000  0.5000  2 Br 1.54
Au  0.5000  0.5000  0.5000  8 Mo 2.93, 2 Au 3.08
Br  0.0000  0.0000  0.0000  2 H 1.54

* energy: -23.7 eV for the cell shown
* space group: P4/mmm, No. 123

This record from Alexandria via LeMat-Bulk describes a geometry-optimized NaAc3Pm2S6 structure. The functional is PBE.

abc: 7.2681 7.2681 7.2084
angles: 99.67 99.67 120.13
Closest atoms and distances in Å follow each position.
Element x y z (fractional)
Na  0.0000  0.0000  0.0000  6 S 2.88-2.90
Ac  0.1650  0.8350  0.5000  6 S 3.02-3.03
Ac  0.5000  0.5000  0.5000  6 S 3.02-3.04
Ac  0.8350  0.1650  0.5000  6 S 3.02-3.03
Pm  0.3336  0.6664  0.0000  6 S 2.88-2.90
Pm  0.6664  0.3336  0.0000  6 S 2.88-2.90
S  0.0779  0.4121  0.2341  2 Pm 2.89-2.90, 1 Na 2.90, 3 Ac 3.02-3.03
S  0.2563  0.2563  0.7699  1 Na 2.88, 2 Pm 2.88, 3 Ac 3.02-3.04
S  0.4121  0.0779  0.2341  2 Pm 2.89-2.90, 1 Na 2.90, 3 Ac 3.02-3.03
S  0.5879  0.9221  0.7659  2 Pm 2.89-2.90, 1 Na 2.90, 3 Ac 3.02-3.03
S  0.7437  0.7437  0.2301  1 Na 2.88, 2 Pm 2.88, 3 Ac 3.02-3.04
S  0.9221  0.5879  0.7659  2 Pm 2.89-2.90, 1 Na 2.90, 3 Ac 3.02-3.03

* space group: C2/m, No. 12
* E_form (uncorrected): -1.934 eV per atom

This record from Alexandria via LeMat-Bulk describes a geometry-optimized Tb2Si2SnRh5 structure. The functional is PBE.

abc: 9.8042 9.8042 3.5467
angles: 90.00 90.00 90.00
Closest atoms and distances in Å follow each position.
Element x y z (fractional)
Tb  0.1761  0.3239  0.0000  3 Si 2.81-2.96, 6 Rh 3.02-3.09
Tb  0.3239  0.8239  0.0000  3 Si 2.81-2.96, 6 Rh 3.02-3.09
Tb  0.6761  0.1761  0.0000  3 Si 2.81-2.96, 6 Rh 3.02-3.09
Tb  0.8239  0.6761  0.0000  3 Si 2.81-2.96, 6 Rh 3.02-3.09
Si  0.1211  0.6211  0.0000  6 Rh 2.43-2.44
Si  0.3789  0.1211  0.0000  6 Rh 2.43-2.44
Si  0.6211  0.8789  0.0000  6 Rh 2.43-2.44
Si  0.8789  0.3789  0.0000  6 Rh 2.43-2.44
Sn  0.0000  0.0000  0.0000  8 Rh 2.86
Sn  0.5000  0.5000  0.0000  8 Rh 2.86
Rh  0.0000  0.5000  0.5000  4 Si 2.44
Rh  0.0695  0.7823  0.5000  2 Si 2.43
Rh  0.2177  0.0695  0.5000  2 Si 2.43
Rh  0.2823  0.5695  0.5000  2 Si 2.43
Rh  0.4305  0.2823  0.5000  2 Si 2.43
Rh  0.5000  0.0000  0.5000  4 Si 2.44
Rh  0.5695  0.7177  0.5000  2 Si 2.43
Rh  0.7177  0.4305  0.5000  2 Si 2.43
Rh  0.7823  0.9305  0.5000  2 Si 2.43
Rh  0.9305  0.2177  0.5000  2 Si 2.43

* space group: P4/mbm, No. 127
* E_form (uncorrected): -0.954 eV per atom

This record from Alexandria via LeMat-Bulk describes a geometry-optimized KTiOsRu2 structure. The functional is PBE.

abc: 4.7037 4.7037 5.2007
angles: 90.00 90.00 90.00
Closest atoms and distances in Å follow each position.
Element x y z (fractional)
K  0.0000  0.0000  0.0000  2 Os 2.60
Ti  0.5000  0.5000  0.0000  4 K 3.33, 8 Ru 3.51
Os  0.0000  0.0000  0.5000  4 Ru 2.35, 2 K 2.60
Ru  0.0000  0.5000  0.5000  2 Os 2.35
Ru  0.5000  0.0000  0.5000  2 Os 2.35

* energy relative to the elements: 1868 meV/atom
* space group: P4/mmm, No. 123

This record from Alexandria via LeMat-Bulk describes a geometry-optimized SmBePdN structure. The functional is PBE.

abc: 3.7736 3.7736 8.1331
angles: 90.00 90.00 90.00
Closest atoms and distances in Å follow each position.
Element x y z (fractional)
Sm  0.2500  0.2500  0.1543  1 N 2.35
Sm  0.7500  0.7500  0.8457  1 N 2.35
Be  0.2500  0.2500  0.6678  1 N 1.61
Be  0.7500  0.7500  0.3322  1 N 1.61
Pd  0.2500  0.7500  0.5000  4 Be 2.33
Pd  0.7500  0.2500  0.5000  4 Be 2.33
N  0.2500  0.2500  0.8654  1 Be 1.61
N  0.7500  0.7500  0.1346  1 Be 1.61

* space group: P4/nmm, No. 129
* E_form (uncorrected): -1.041 eV per atom

This record from Alexandria via LeMat-Bulk describes a geometry-optimized Er3Tm2ThS6 structure. The functional is PBE.

abc: 8.6876 8.6876 7.8143
angles: 102.62 102.62 25.80
Closest atoms and distances in Å follow each position.
Element x y z (fractional)
Er  0.0000  0.0000  0.0000  6 S 2.68-2.78
Er  0.3382  0.3382  0.6660  6 S 2.71-2.78
Er  0.6618  0.6618  0.3340  6 S 2.71-2.78
Tm  0.3358  0.3358  0.1705  6 S 2.68-2.76
Tm  0.6642  0.6642  0.8295  6 S 2.68-2.76
Th  0.0000  0.0000  0.5000  6 S 2.83-2.86
S  0.1687  0.1687  0.0823  3 Tm 2.76, 3 Er 2.78
S  0.1735  0.1735  0.5891  3 Er 2.72-2.76, 2 Tm 2.73, 1 Th 2.86
S  0.4982  0.4982  0.2353  3 Er 2.68-2.71, 1 Tm 2.68, 2 Th 2.83
S  0.5018  0.5018  0.7647  3 Er 2.68-2.71, 1 Tm 2.68, 2 Th 2.83
S  0.8265  0.8265  0.4109  3 Er 2.72-2.76, 2 Tm 2.73, 1 Th 2.86
S  0.8313  0.8313  0.9177  3 Tm 2.76, 3 Er 2.78

* space group: C2/m, No. 12
* E_form (uncorrected): -1.913 eV per atom

This record from Alexandria via LeMat-Bulk describes a geometry-optimized CePuSiGe structure. The functional is PBE.

abc: 7.1151 7.1151 7.1151
angles: 90.00 90.00 90.00
Closest atoms and distances in Å follow each position.
Element x y z (fractional)
Ce  0.0000  0.0000  0.0000  4 Ge 3.08, 4 Si 3.08
Ce  0.0000  0.5000  0.5000  4 Ge 3.08, 4 Si 3.08
Ce  0.5000  0.0000  0.5000  4 Ge 3.08, 4 Si 3.08
Ce  0.5000  0.5000  0.0000  4 Ge 3.08, 4 Si 3.08
Pu  0.0000  0.0000  0.5000  4 Ge 3.08, 4 Si 3.08
Pu  0.0000  0.5000  0.0000  4 Ge 3.08, 4 Si 3.08
Pu  0.5000  0.0000  0.0000  4 Ge 3.08, 4 Si 3.08
Pu  0.5000  0.5000  0.5000  4 Ge 3.08, 4 Si 3.08
Si  0.2500  0.2500  0.7500  4 Ce 3.08, 4 Pu 3.08
Si  0.2500  0.7500  0.2500  4 Ce 3.08, 4 Pu 3.08
Si  0.7500  0.2500  0.2500  4 Ce 3.08, 4 Pu 3.08
Si  0.7500  0.7500  0.7500  4 Pu 3.08, 4 Ce 3.08
Ge  0.2500  0.2500  0.2500  4 Ce 3.08, 4 Pu 3.08
Ge  0.2500  0.7500  0.7500  4 Ce 3.08, 4 Pu 3.08
Ge  0.7500  0.2500  0.7500  4 Ce 3.08, 4 Pu 3.08
Ge  0.7500  0.7500  0.2500  4 Ce 3.08, 4 Pu 3.08

* space group: F-43m, No. 216
* E_form (uncorrected): -0.386 eV per atom

This record from Alexandria via LeMat-Bulk describes a geometry-optimized CeGdMn2 structure. The functional is PBE.

abc: 3.5290 3.5290 6.7827
angles: 90.00 90.00 90.00
Closest atoms and distances in Å follow each position.
Element x y z (fractional)
Ce  0.0000  0.0000  0.0000  8 Mn 2.87
Gd  0.0000  0.0000  0.5000  8 Mn 3.18, 2 Ce 3.39, 4 Gd 3.53
Mn  0.5000  0.5000  0.2099  1 Mn 2.85, 4 Ce 2.87, 4 Gd 3.18
Mn  0.5000  0.5000  0.7901  1 Mn 2.85, 4 Ce 2.87, 4 Gd 3.18

* energy relative to the elements: 176 meV/atom
* space group: P4/mmm, No. 123

This record from Alexandria via LeMat-Bulk describes a geometry-optimized CeDyYHg structure. The functional is PBE.

abc: 7.5971 7.5971 7.5971
angles: 90.00 90.00 90.00
Closest atoms and distances in Å follow each position.
Element x y z (fractional)
Ce  0.0000  0.0000  0.0000  4 Dy 3.29, 4 Y 3.29
Ce  0.0000  0.5000  0.5000  4 Dy 3.29, 4 Y 3.29
Ce  0.5000  0.0000  0.5000  4 Dy 3.29, 4 Y 3.29
Ce  0.5000  0.5000  0.0000  4 Dy 3.29, 4 Y 3.29
Dy  0.2500  0.2500  0.7500  4 Hg 3.29, 4 Ce 3.29
Dy  0.2500  0.7500  0.2500  4 Hg 3.29, 4 Ce 3.29
Dy  0.7500  0.2500  0.2500  4 Hg 3.29, 4 Ce 3.29
Dy  0.7500  0.7500  0.7500  4 Hg 3.29, 4 Ce 3.29
Y  0.2500  0.2500  0.2500  4 Hg 3.29, 4 Ce 3.29
Y  0.2500  0.7500  0.7500  4 Hg 3.29, 4 Ce 3.29
Y  0.7500  0.2500  0.7500  4 Hg 3.29, 4 Ce 3.29
Y  0.7500  0.7500  0.2500  4 Hg 3.29, 4 Ce 3.29
Hg  0.0000  0.0000  0.5000  4 Y 3.29, 4 Dy 3.29
Hg  0.0000  0.5000  0.0000  4 Y 3.29, 4 Dy 3.29
Hg  0.5000  0.0000  0.0000  4 Y 3.29, 4 Dy 3.29
Hg  0.5000  0.5000  0.5000  4 Y 3.29, 4 Dy 3.29

* energy relative to the elements: 8 meV/atom
* space group: F-43m, No. 216

Short version: calculated volume = 28.9; 15.4; 25.8; 17.0; 23.0; 14.5; 20.9; 22.5; 21.1; 27.4 Å³/atom, in the order given.